Record 1
The following is a DFT calculation (PBE) of KNaVI2 after structural relaxation.

CIF file:
```
data_KNaVI2
_cell_length_a 5.711
_cell_length_b 5.711
_cell_length_c 5.824
_cell_angle_alpha 90.00
_cell_angle_beta 90.00
_cell_angle_gamma 90.00
_space_group_name_H-M_alt 'P 1'
_space_group_IT_number 1
_space_group_name_Hall 'P 1'
loop_
_atom_site_label
_atom_site_fract_x
_atom_site_fract_y
_atom_site_fract_z
_atom_site_occupancy
K1 0.000 0.000 0.000 1
Na1 0.500 0.500 0.000 1
V1 0.500 0.500 0.500 1
I1 0.000 0.500 0.500 1
I2 0.500 0.000 0.500 1
```

Values from the calculation:
Its symmetry is No. 123. The calculation puts the density of states at the Fermi level at 2.7 states/eV/cell. As for the uncorrected formation energy: -0.19 eV per atom.



Record 2
The following is a DFT calculation (PBE) of TaTi2Ga3 after structural relaxation.

CIF file:
```
data_TaTi2Ga3
_cell_length_a 6.308
_cell_length_b 6.308
_cell_length_c 4.000
_cell_angle_alpha 90.00
_cell_angle_beta 90.00
_cell_angle_gamma 142.99
_space_group_name_H-M_alt 'P 1'
_space_group_IT_number 1
_space_group_name_Hall 'P 1'
loop_
_atom_site_label
_atom_site_fract_x
_atom_site_fract_y
_atom_site_fract_z
_atom_site_occupancy
Ta1 0.000 0.000 0.000 1
Ti1 0.334 0.666 0.000 1
Ti2 0.666 0.334 0.000 1
Ga1 0.169 0.831 0.500 1
Ga2 0.500 0.500 0.500 1
Ga3 0.831 0.169 0.500 1
```

Values from the calculation:
Its symmetry is No. 65. The calculation puts the energy of formation from the pure elements at -366 meV per atom. The calculation puts the density of states at the Fermi level at 3.2 states/eV/cell.



Record 3
The following is a DFT calculation (PBE) of Pm4Co2Cl5 after structural relaxation.

CIF file:
```
data_Pm4Co2Cl5
_cell_length_a 10.170
_cell_length_b 10.170
_cell_length_c 10.170
_cell_angle_alpha 157.36
_cell_angle_beta 133.46
_cell_angle_gamma 52.36
_space_group_name_H-M_alt 'P 1'
_space_group_IT_number 1
_space_group_name_Hall 'P 1'
loop_
_atom_site_label
_atom_site_fract_x
_atom_site_fract_y
_atom_site_fract_z
_atom_site_occupancy
Pm1 0.188 0.188 0.000 1
Pm2 0.221 0.500 0.721 1
Pm3 0.779 0.500 0.279 1
Pm4 0.812 0.812 0.000 1
Co1 0.058 0.058 0.000 1
Co2 0.942 0.942 0.000 1
Cl1 0.088 0.327 0.761 1
Cl2 0.435 0.673 0.761 1
Cl3 0.500 0.000 0.500 1
Cl4 0.565 0.327 0.239 1
Cl5 0.912 0.673 0.239 1
```

Values from the calculation:
Its symmetry is No. 71. The calculation puts the density of states at the Fermi level at 5.6 states/eV/cell. As for the uncorrected formation energy: -1.22 eV per atom.



Record 4
The following is a DFT calculation (PBE) of Sc2Be3Ni after structural relaxation.

CIF file:
```
data_Sc2Be3Ni
_cell_length_a 4.794
_cell_length_b 4.794
_cell_length_c 4.824
_cell_angle_alpha 120.06
_cell_angle_beta 120.06
_cell_angle_gamma 59.66
_space_group_name_H-M_alt 'P 1'
_space_group_IT_number 1
_space_group_name_Hall 'P 1'
loop_
_atom_site_label
_atom_site_fract_x
_atom_site_fract_y
_atom_site_fract_z
_atom_site_occupancy
Sc1 0.124 0.124 0.373 1
Sc2 0.876 0.876 0.627 1
Be1 0.000 0.500 0.000 1
Be2 0.500 0.000 0.000 1
Be3 0.500 0.500 0.000 1
Ni1 0.500 0.500 0.500 1
```

Values from the calculation:
Its symmetry is No. 12. The calculation puts the energy of formation from the pure elements at -238 meV per atom. The calculation puts the density of states at the Fermi level at 3.7 states/eV/cell.



Record 5
The following is a DFT calculation (PBE) of KTa2Re after structural relaxation.

CIF file:
```
data_KTa2Re
_cell_length_a 3.112
_cell_length_b 3.702
_cell_length_c 8.725
_cell_angle_alpha 90.00
_cell_angle_beta 90.00
_cell_angle_gamma 90.00
_space_group_name_H-M_alt 'P 1'
_space_group_IT_number 1
_space_group_name_Hall 'P 1'
loop_
_atom_site_label
_atom_site_fract_x
_atom_site_fract_y
_atom_site_fract_z
_atom_site_occupancy
K1 0.000 0.000 0.000 1
Ta1 0.500 0.500 0.352 1
Ta2 0.500 0.500 0.648 1
Re1 0.000 0.000 0.500 1
```

Values from the calculation:
Its symmetry is No. 47. The calculation puts the energy of formation from the pure elements at 723 meV per atom. For the excess energy over the best structure of this formula in the dataset, the calculation gives 141 meV per atom. The calculation puts the density of states at the Fermi level at 5.3 states/eV/cell.



Record 6
The following is a DFT calculation (PBE) of Li2ScAu6 after structural relaxation.

CIF file:
```
data_Li2ScAu6
_cell_length_a 8.207
_cell_length_b 8.207
_cell_length_c 4.999
_cell_angle_alpha 97.84
_cell_angle_beta 97.84
_cell_angle_gamma 72.21
_space_group_name_H-M_alt 'P 1'
_space_group_IT_number 1
_space_group_name_Hall 'P 1'
loop_
_atom_site_label
_atom_site_fract_x
_atom_site_fract_y
_atom_site_fract_z
_atom_site_occupancy
Li1 0.046 0.292 0.087 1
Li2 0.292 0.046 0.587 1
Li3 0.708 0.954 0.413 1
Li4 0.954 0.708 0.913 1
Sc1 0.370 0.630 0.750 1
Sc2 0.630 0.370 0.250 1
Au1 0.062 0.822 0.473 1
Au2 0.146 0.405 0.652 1
Au3 0.178 0.938 0.027 1
Au4 0.263 0.512 0.197 1
Au5 0.405 0.146 0.152 1
Au6 0.488 0.737 0.303 1
Au7 0.512 0.263 0.697 1
Au8 0.595 0.854 0.848 1
Au9 0.737 0.488 0.803 1
Au10 0.822 0.062 0.973 1
Au11 0.854 0.595 0.348 1
Au12 0.938 0.178 0.527 1
```

Values from the calculation:
Its symmetry is No. 15. The calculation puts the energy of formation from the pure elements at -498 meV per atom. The calculation puts the density of states at the Fermi level at 5.5 states/eV/cell.



Record 7
The following is a DFT calculation (PBE) of BaSm2Pd after structural relaxation.

CIF file:
```
data_BaSm2Pd
_cell_length_a 3.693
_cell_length_b 3.693
_cell_length_c 9.839
_cell_angle_alpha 90.00
_cell_angle_beta 90.00
_cell_angle_gamma 90.00
_space_group_name_H-M_alt 'P 1'
_space_group_IT_number 1
_space_group_name_Hall 'P 1'
loop_
_atom_site_label
_atom_site_fract_x
_atom_site_fract_y
_atom_site_fract_z
_atom_site_occupancy
Ba1 0.000 0.000 0.000 1
Sm1 0.500 0.500 0.333 1
Sm2 0.500 0.500 0.667 1
Pd1 0.000 0.000 0.500 1
```

Values from the calculation:
Its symmetry is No. 123. The calculation puts the energy of formation from the pure elements at -273 meV per atom. For the excess energy over the best structure of this formula in the dataset, the calculation gives 0 meV per atom. The calculation puts the density of states at the Fermi level at 4.5 states/eV/cell.



Record 8
The following is a DFT calculation (PBE) of Ac2MnAlSe6 after structural relaxation.

CIF file:
```
data_Ac2MnAlSe6
_cell_length_a 6.722
_cell_length_b 7.742
_cell_length_c 11.908
_cell_angle_alpha 90.00
_cell_angle_beta 123.75
_cell_angle_gamma 90.00
_space_group_name_H-M_alt 'P 1'
_space_group_IT_number 1
_space_group_name_Hall 'P 1'
loop_
_atom_site_label
_atom_site_fract_x
_atom_site_fract_y
_atom_site_fract_z
_atom_site_occupancy
Ac1 0.206 0.111 0.248 1
Ac2 0.206 0.389 0.748 1
Ac3 0.794 0.611 0.252 1
Ac4 0.794 0.889 0.752 1
Mn1 0.500 0.000 0.000 1
Mn2 0.500 0.500 0.500 1
Al1 0.000 0.000 0.500 1
Al2 0.000 0.500 0.000 1
Se1 0.147 0.177 0.957 1
Se2 0.147 0.323 0.457 1
Se3 0.264 0.669 0.958 1
Se4 0.264 0.831 0.458 1
Se5 0.347 0.503 0.254 1
Se6 0.347 0.997 0.754 1
Se7 0.653 0.003 0.246 1
Se8 0.653 0.497 0.746 1
Se9 0.736 0.169 0.542 1
Se10 0.736 0.331 0.042 1
Se11 0.853 0.677 0.543 1
Se12 0.853 0.823 0.043 1
```

Values from the calculation:
Its symmetry is No. 14. As for the uncorrected formation energy: -1.32 eV per atom.



Record 9
The following is a DFT calculation (PBE) of K3BaTc after structural relaxation.

CIF file:
```
data_K3BaTc
_cell_length_a 7.455
_cell_length_b 7.455
_cell_length_c 7.455
_cell_angle_alpha 90.00
_cell_angle_beta 90.00
_cell_angle_gamma 90.00
_space_group_name_H-M_alt 'P 1'
_space_group_IT_number 1
_space_group_name_Hall 'P 1'
loop_
_atom_site_label
_atom_site_fract_x
_atom_site_fract_y
_atom_site_fract_z
_atom_site_occupancy
K1 0.000 0.000 0.500 1
K2 0.000 0.500 0.000 1
K3 0.500 0.000 0.000 1
Ba1 0.000 0.000 0.000 1
Tc1 0.500 0.500 0.500 1
```

Values from the calculation:
Its symmetry is No. 221. The calculation puts the energy of formation from the pure elements at 1694 meV per atom. For the excess energy over the best structure of this formula in the dataset, the calculation gives 428 meV per atom. The calculation puts the density of states at the Fermi level at 11.8 states/eV/cell.



Record 10
The following is a DFT calculation (PBE) of CrSi2Ru after structural relaxation.

CIF file:
```
data_CrSi2Ru
_cell_length_a 4.709
_cell_length_b 4.709
_cell_length_c 4.709
_cell_angle_alpha 135.17
_cell_angle_beta 135.17
_cell_angle_gamma 65.27
_space_group_name_H-M_alt 'P 1'
_space_group_IT_number 1
_space_group_name_Hall 'P 1'
loop_
_atom_site_label
_atom_site_fract_x
_atom_site_fract_y
_atom_site_fract_z
_atom_site_occupancy
Cr1 0.000 0.000 0.000 1
Si1 0.500 0.500 0.000 1
Si2 0.750 0.250 0.500 1
Ru1 0.250 0.750 0.500 1
```

Values from the calculation:
Its symmetry is No. 119. The calculation puts the density of states at the Fermi level at 2.6 states/eV/cell. As for the uncorrected formation energy: -0.19 eV per atom.



Record 11
The following is a DFT calculation (PBE) of ScNi after structural relaxation.

CIF file:
```
data_ScNi
_cell_length_a 4.042
_cell_length_b 4.042
_cell_length_c 4.977
_cell_angle_alpha 90.00
_cell_angle_beta 90.00
_cell_angle_gamma 120.00
_space_group_name_H-M_alt 'P 1'
_space_group_IT_number 1
_space_group_name_Hall 'P 1'
loop_
_atom_site_label
_atom_site_fract_x
_atom_site_fract_y
_atom_site_fract_z
_atom_site_occupancy
Sc1 0.333 0.667 0.250 1
Sc2 0.667 0.333 0.750 1
Ni1 0.000 0.000 0.000 1
Ni2 0.000 0.000 0.500 1
```

Values from the calculation:
Its symmetry is No. 194. The calculation puts the energy of formation from the pure elements at -371 meV per atom. The calculation puts the density of states at the Fermi level at 2.2 states/eV/cell.



Record 12
The following is a DFT calculation (PBE) of ZrPaNiRu after structural relaxation.

CIF file:
```
data_ZrPaNiRu
_cell_length_a 4.708
_cell_length_b 4.708
_cell_length_c 4.708
_cell_angle_alpha 60.00
_cell_angle_beta 60.00
_cell_angle_gamma 60.00
_space_group_name_H-M_alt 'P 1'
_space_group_IT_number 1
_space_group_name_Hall 'P 1'
loop_
_atom_site_label
_atom_site_fract_x
_atom_site_fract_y
_atom_site_fract_z
_atom_site_occupancy
Zr1 0.000 0.000 0.000 1
Pa1 0.500 0.500 0.500 1
Ni1 0.750 0.750 0.750 1
Ru1 0.250 0.250 0.250 1
```

Values from the calculation:
Its symmetry is No. 216. The calculation puts the energy of formation from the pure elements at -311 meV per atom. The calculation puts the density of states at the Fermi level at 6.0 states/eV/cell.